(A)
{"formula": "Rb2TiBr", "functional": "PBE-GGA", "state": "optimized geometry", "lattice_angstrom": [[9.806, 0.000, 0.000], [0.000, 9.806, 0.000], [4.903, 4.903, 4.509]], "species": ["Br", "Br", "Rb", "Rb", "Rb", "Rb", "Ti", "Ti"], "fractional_positions": [[0.000, 0.000, 0.000], [0.750, 0.250, 0.500], [0.679, 0.125, 0.250], [0.071, 0.625, 0.250], [0.375, 0.321, 0.750], [0.875, 0.929, 0.750], [0.500, 0.500, 0.000], [0.250, 0.750, 0.500]]}

***

(B)
{"formula": "Rb2TiBr", "functional": "PBE-GGA", "state": "optimized geometry", "lattice_angstrom": [[4.859, -1.705, 3.789], [2.523, 4.239, 4.067], [-0.931, -0.660, 6.290]], "species": ["Br", "Rb", "Rb", "Ti"], "fractional_positions": [[0.500, 0.500, 0.500], [0.250, 0.250, 0.250], [0.750, 0.750, 0.750], [0.000, 0.000, 0.000]]}

***

So which one wins? Going from most stable to least: (A), (B).

***

(A)
{"formula": "Rb2TiBr5", "functional": "PBE-GGA", "state": "optimized geometry", "lattice_angstrom": [[7.506, 0.000, 0.000], [0.000, 9.686, 0.000], [0.000, 0.000, 15.409]], "species": ["Rb", "Rb", "Rb", "Rb", "Rb", "Rb", "Rb", "Rb", "Ti", "Ti", "Ti", "Ti", "Br", "Br", "Br", "Br", "Br", "Br", "Br", "Br", "Br", "Br", "Br", "Br", "Br", "Br", "Br", "Br", "Br", "Br", "Br", "Br"], "fractional_positions": [[0.750, 0.547, 0.302], [0.250, 0.453, 0.698], [0.250, 0.953, 0.802], [0.750, 0.047, 0.198], [0.750, 0.821, 0.585], [0.250, 0.179, 0.415], [0.250, 0.679, 0.085], [0.750, 0.321, 0.915], [0.750, 0.818, 0.941], [0.250, 0.182, 0.059], [0.250, 0.682, 0.441], [0.750, 0.318, 0.559], [0.750, 0.719, 0.099], [0.250, 0.281, 0.901], [0.250, 0.781, 0.599], [0.750, 0.219, 0.401], [0.506, 0.658, 0.891], [0.494, 0.342, 0.109], [0.494, 0.842, 0.391], [0.006, 0.342, 0.109], [0.506, 0.158, 0.609], [0.994, 0.658, 0.891], [0.994, 0.158, 0.609], [0.006, 0.842, 0.391], [0.500, 0.000, 0.000], [0.500, 0.500, 0.500], [0.000, 0.000, 0.000], [0.000, 0.500, 0.500], [0.750, 0.960, 0.801], [0.250, 0.040, 0.199], [0.250, 0.540, 0.301], [0.750, 0.460, 0.699]]}

***

(B)
{"formula": "Rb2TiBr5", "functional": "PBE-GGA", "state": "optimized geometry", "lattice_angstrom": [[8.124, -0.001, 0.000], [0.000, 8.122, -0.001], [-4.062, -4.059, 4.736]], "species": ["Rb", "Rb", "Ti", "Br", "Br", "Br", "Br", "Br"], "fractional_positions": [[0.265, 0.765, 0.529], [0.765, 0.265, 0.529], [0.959, 0.959, 0.918], [0.802, 0.238, 0.040], [0.238, 0.238, 0.040], [0.802, 0.802, 0.041], [0.238, 0.802, 0.040], [0.708, 0.708, 0.417]]}

***

So which one wins? Going from most stable to least: (A), (B).

***

(A)
{"formula": "RbTl2Br4", "functional": "PBE-GGA", "state": "optimized geometry", "lattice_angstrom": [[7.531, 0.000, 0.000], [0.000, 7.531, 0.000], [0.000, 0.000, 7.025]], "species": ["Rb", "Tl", "Tl", "Br", "Br", "Br", "Br"], "fractional_positions": [[0.000, 0.000, 0.000], [0.500, 0.000, 0.500], [0.000, 0.500, 0.500], [0.752, 0.248, 0.697], [0.248, 0.248, 0.303], [0.248, 0.752, 0.697], [0.752, 0.752, 0.303]]}

***

(B)
{"formula": "RbTl2Br4", "functional": "PBE-GGA", "state": "optimized geometry", "lattice_angstrom": [[4.773, 0.000, 0.000], [0.000, 7.728, -2.692], [0.000, 0.080, 8.534]], "species": ["Tl", "Tl", "Br", "Br", "Br", "Br", "Rb"], "fractional_positions": [[0.000, 0.500, 0.500], [0.500, 0.000, 0.500], [0.500, 0.229, 0.281], [0.500, 0.771, 0.719], [0.000, 0.198, 0.693], [0.000, 0.802, 0.307], [0.000, 0.000, 0.000]]}

***

So which one wins? Going from most stable to least: (B), (A).

***

(A)
{"formula": "Rb2TlBr2", "functional": "PBE-GGA", "state": "optimized geometry", "lattice_angstrom": [[-0.725, 4.555, 4.572], [-5.345, -3.002, 2.144], [3.627, -3.533, 4.096]], "species": ["Tl", "Br", "Br", "Rb", "Rb"], "fractional_positions": [[0.000, 0.000, 0.000], [0.000, 0.500, 0.000], [0.500, 0.000, 0.000], [0.500, 0.500, 0.500], [0.000, 0.000, 0.500]]}

***

(B)
{"formula": "Rb2TlBr2", "functional": "PBE-GGA", "state": "optimized geometry", "lattice_angstrom": [[9.498, 0.000, 0.000], [0.000, 9.498, 0.000], [0.000, 0.000, 4.324]], "species": ["Tl", "Tl", "Br", "Br", "Br", "Br", "Rb", "Rb", "Rb", "Rb"], "fractional_positions": [[0.000, 0.000, 0.000], [0.500, 0.500, 0.000], [0.348, 0.848, 0.000], [0.848, 0.652, 0.000], [0.652, 0.152, 0.000], [0.152, 0.348, 0.000], [0.150, 0.650, 0.500], [0.650, 0.850, 0.500], [0.850, 0.350, 0.500], [0.350, 0.150, 0.500]]}

***

So which one wins? Going from most stable to least: (B), (A).

***

(A)
{"formula": "Rb2TlBr2", "functional": "PBE-GGA", "state": "optimized geometry", "lattice_angstrom": [[6.195, 0.000, 0.000], [0.000, 6.195, 0.000], [3.098, 3.098, 6.967]], "species": ["Tl", "Br", "Br", "Rb", "Rb"], "fractional_positions": [[0.000, 0.000, 0.000], [0.750, 0.250, 0.500], [0.250, 0.750, 0.500], [0.337, 0.337, 0.325], [0.663, 0.663, 0.675]]}

***

(B)
{"formula": "Rb2TlBr2", "functional": "PBE-GGA", "state": "optimized geometry", "lattice_angstrom": [[9.990, 0.000, 0.000], [0.000, 9.990, 0.000], [0.000, 0.000, 3.966]], "species": ["Tl", "Tl", "Br", "Br", "Br", "Br", "Rb", "Rb", "Rb", "Rb"], "fractional_positions": [[0.000, 0.000, 0.000], [0.500, 0.500, 0.000], [0.152, 0.652, 0.500], [0.652, 0.848, 0.500], [0.848, 0.348, 0.500], [0.348, 0.152, 0.500], [0.357, 0.857, 0.000], [0.857, 0.643, 0.000], [0.643, 0.143, 0.000], [0.143, 0.357, 0.000]]}

***

So which one wins? Going from most stable to least: (B), (A).

***

(A)
{"formula": "RbTl6Br8", "functional": "PBE-GGA", "state": "optimized geometry", "lattice_angstrom": [[-1.966, -4.189, 1.576], [-4.805, -1.699, -10.509], [10.676, -4.152, 2.280]], "species": ["Rb", "Tl", "Tl", "Tl", "Tl", "Tl", "Tl", "Br", "Br", "Br", "Br", "Br", "Br", "Br", "Br"], "fractional_positions": [[0.500, 0.000, 0.000], [0.751, 0.665, 0.130], [0.751, 0.870, 0.535], [0.751, 0.465, 0.335], [0.249, 0.335, 0.870], [0.249, 0.130, 0.465], [0.249, 0.535, 0.665], [0.749, 0.970, 0.277], [0.749, 0.723, 0.693], [0.749, 0.307, 0.030], [0.251, 0.030, 0.723], [0.251, 0.277, 0.307], [0.251, 0.693, 0.970], [0.749, 0.333, 0.667], [0.251, 0.667, 0.333]]}

***

(B)
{"formula": "RbTl6Br8", "functional": "PBE-GGA", "state": "optimized geometry", "lattice_angstrom": [[8.670, -0.922, -0.952], [-1.191, 8.637, -0.952], [-1.191, -1.229, 8.602]], "species": ["Rb", "Tl", "Tl", "Tl", "Tl", "Tl", "Tl", "Br", "Br", "Br", "Br", "Br", "Br", "Br", "Br"], "fractional_positions": [[0.000, 0.000, 0.000], [0.694, 0.445, 0.902], [0.445, 0.902, 0.694], [0.902, 0.694, 0.445], [0.306, 0.555, 0.098], [0.555, 0.098, 0.306], [0.098, 0.306, 0.555], [0.680, 0.680, 0.680], [0.320, 0.320, 0.320], [0.671, 0.781, 0.155], [0.781, 0.155, 0.671], [0.155, 0.671, 0.781], [0.329, 0.219, 0.845], [0.219, 0.845, 0.329], [0.845, 0.329, 0.219]]}

***

So which one wins? Going from most stable to least: (A), (B).

***

(A)
{"formula": "RbTmBr4", "functional": "PBE-GGA", "state": "optimized geometry", "lattice_angstrom": [[7.202, 0.120, -1.126], [-2.191, 8.607, -4.231], [0.158, -0.460, 9.825]], "species": ["Rb", "Rb", "Tm", "Tm", "Br", "Br", "Br", "Br", "Br", "Br", "Br", "Br"], "fractional_positions": [[0.250, 0.757, 0.743], [0.750, 0.243, 0.257], [0.750, 0.935, 0.565], [0.250, 0.065, 0.435], [0.306, 0.997, 0.146], [0.194, 0.354, 0.503], [0.367, 0.789, 0.402], [0.633, 0.211, 0.598], [0.867, 0.902, 0.289], [0.806, 0.646, 0.497], [0.133, 0.098, 0.711], [0.694, 0.003, 0.854]]}

***

(B)
{"formula": "RbTmBr4", "functional": "PBE-GGA", "state": "optimized geometry", "lattice_angstrom": [[-3.110, 4.140, -4.707], [-3.343, -6.200, -3.242], [-3.923, 0.580, 8.350]], "species": ["Rb", "Rb", "Tm", "Tm", "Br", "Br", "Br", "Br", "Br", "Br", "Br", "Br"], "fractional_positions": [[0.798, 0.751, 0.003], [0.202, 0.249, 0.997], [0.500, 0.000, 0.500], [0.000, 0.500, 0.500], [0.521, 0.053, 0.805], [0.713, 0.447, 0.195], [0.479, 0.947, 0.195], [0.287, 0.553, 0.805], [0.874, 0.838, 0.609], [0.264, 0.662, 0.391], [0.126, 0.162, 0.391], [0.736, 0.338, 0.609]]}

***

So which one wins? Going from most stable to least: (A), (B).

***

(A)
{"formula": "RbUBr4", "functional": "PBE-GGA", "state": "optimized geometry", "lattice_angstrom": [[-3.468, 5.759, 0.663], [-1.133, -1.118, -8.529], [-4.802, -4.919, 5.293]], "species": ["Rb", "Rb", "U", "U", "Br", "Br", "Br", "Br", "Br", "Br", "Br", "Br"], "fractional_positions": [[0.750, 0.637, 0.363], [0.250, 0.363, 0.637], [0.250, 0.001, 0.999], [0.750, 0.999, 0.001], [0.905, 0.670, 0.796], [0.038, 0.946, 0.258], [0.595, 0.204, 0.330], [0.462, 0.742, 0.054], [0.538, 0.258, 0.946], [0.405, 0.796, 0.670], [0.962, 0.054, 0.742], [0.095, 0.330, 0.204]]}

***

(B)
{"formula": "RbUBr4", "functional": "PBE-GGA", "state": "optimized geometry", "lattice_angstrom": [[-6.162, 3.705, 1.706], [-3.365, -7.729, -1.385], [5.809, 0.160, 7.634]], "species": ["Rb", "Rb", "U", "U", "Br", "Br", "Br", "Br", "Br", "Br", "Br", "Br"], "fractional_positions": [[0.397, 0.647, 0.294], [0.603, 0.353, 0.706], [0.829, 0.079, 0.158], [0.171, 0.921, 0.842], [0.273, 0.950, 0.591], [0.047, 0.821, 0.077], [0.182, 0.359, 0.409], [0.471, 0.744, 0.923], [0.727, 0.050, 0.409], [0.818, 0.641, 0.591], [0.953, 0.179, 0.923], [0.529, 0.256, 0.077]]}

***

So which one wins? Going from most stable to least: (A), (B).

***

(A)
{"formula": "Rb2UBr6", "functional": "PBE-GGA", "state": "optimized geometry", "lattice_angstrom": [[7.884, 0.000, -0.486], [0.000, 8.719, 0.000], [0.263, 0.000, 10.968]], "species": ["Rb", "Rb", "Rb", "Rb", "U", "U", "Br", "Br", "Br", "Br", "Br", "Br", "Br", "Br", "Br", "Br", "Br", "Br"], "fractional_positions": [[0.972, 0.416, 0.747], [0.528, 0.916, 0.753], [0.472, 0.084, 0.247], [0.028, 0.584, 0.253], [0.500, 0.500, 0.000], [0.000, 0.000, 0.500], [0.908, 0.977, 0.254], [0.830, 0.725, 0.545], [0.793, 0.669, 0.957], [0.707, 0.169, 0.543], [0.670, 0.225, 0.955], [0.592, 0.477, 0.246], [0.092, 0.023, 0.746], [0.170, 0.275, 0.455], [0.207, 0.331, 0.043], [0.293, 0.831, 0.457], [0.330, 0.775, 0.045], [0.408, 0.523, 0.754]]}

***

(B)
{"formula": "Rb2UBr6", "functional": "PBE-GGA", "state": "optimized geometry", "lattice_angstrom": [[7.820, 1.891, 1.094], [2.325, 7.636, -0.141], [2.325, 3.682, 6.691]], "species": ["Rb", "Rb", "U", "Br", "Br", "Br", "Br", "Br", "Br"], "fractional_positions": [[0.755, 0.754, 0.754], [0.245, 0.246, 0.246], [0.000, 0.000, 0.000], [0.196, 0.290, 0.794], [0.316, 0.760, 0.760], [0.196, 0.794, 0.290], [0.804, 0.710, 0.206], [0.684, 0.240, 0.240], [0.804, 0.206, 0.710]]}

***

So which one wins? Going from most stable to least: (A), (B).

***

(A)
{"formula": "Rb3UBr6", "functional": "PBE-GGA", "state": "optimized geometry", "lattice_angstrom": [[8.224, 0.000, 0.109], [0.000, 8.784, 0.000], [0.057, 0.000, 11.826]], "species": ["Rb", "Rb", "Rb", "Rb", "Rb", "Rb", "U", "U", "Br", "Br", "Br", "Br", "Br", "Br", "Br", "Br", "Br", "Br", "Br", "Br"], "fractional_positions": [[0.529, 0.925, 0.756], [0.500, 0.500, 0.000], [0.471, 0.075, 0.244], [0.029, 0.575, 0.256], [0.000, 0.000, 0.500], [0.971, 0.425, 0.744], [0.500, 0.500, 0.500], [0.000, 0.000, 0.000], [0.714, 0.178, 0.943], [0.667, 0.224, 0.576], [0.630, 0.444, 0.272], [0.370, 0.556, 0.728], [0.333, 0.776, 0.424], [0.286, 0.822, 0.057], [0.214, 0.322, 0.443], [0.167, 0.276, 0.076], [0.130, 0.056, 0.772], [0.870, 0.944, 0.228], [0.833, 0.724, 0.924], [0.786, 0.678, 0.557]]}

***

(B)
{"formula": "Rb3UBr6", "functional": "PBE-GGA", "state": "optimized geometry", "lattice_angstrom": [[8.531, -0.055, -0.039], [4.038, 7.370, -0.040], [4.038, 2.425, 6.959]], "species": ["Rb", "Rb", "Rb", "U", "Br", "Br", "Br", "Br", "Br", "Br"], "fractional_positions": [[0.283, 0.247, 0.247], [0.717, 0.753, 0.753], [0.000, 0.000, 0.000], [0.500, 0.500, 0.500], [0.348, 0.188, 0.665], [0.652, 0.335, 0.812], [0.652, 0.812, 0.335], [0.348, 0.665, 0.188], [0.152, 0.721, 0.721], [0.848, 0.279, 0.279]]}

***

So which one wins? Going from most stable to least: (A), (B).